Computed, not measured: crystalline La4Pr2Cd at its relaxed geometry at the GGA-PBE level of DFT.

Lattice parameters (Å, degrees): 17.267 3.633 8.862 90.00 117.19 90.00
Sites, in units of the cell vectors:
La (0.080, 0.000, 0.200)
La (0.128, 0.500, 0.882)
La (0.372, 0.000, 0.118)
La (0.420, 0.500, 0.800)
La (0.580, 0.500, 0.200)
La (0.628, 0.000, 0.882)
La (0.872, 0.500, 0.118)
La (0.920, 0.000, 0.800)
Pr (0.218, 0.000, 0.642)
Pr (0.282, 0.500, 0.358)
Pr (0.718, 0.500, 0.642)
Pr (0.782, 0.000, 0.358)
Cd (0.000, 0.000, 0.500)
Cd (0.500, 0.500, 0.500)

Values from the calculation:
Formation energy: 0.091 eV per formula unit
Symmetry: No. 12
Total magnetic moment: 0.0 Bohr magnetons per cell
Polymorph energy (0 for the lowest one): 0.069 eV per atom